A plane-wave DFT calculation with PBE was carried out for a relaxed structure of Ba4BiAsH.

Cell: 5.2277 5.2277 10.0602 Å, 105.06 105.06 90.00°
Atoms (fractional coordinates):
1 As 0.3745 0.3745 0.7490
2 Ba 0.8268 0.8268 0.6536
3 Ba 0.1935 0.1935 0.3870
4 H 0.9739 0.9739 0.9478
5 Ba 0.9965 0.4965 0.9929
6 Bi 0.6384 0.6384 0.2768
7 Ba 0.4965 0.9965 0.9929

Properties
Magnetization ... 0.0 Bohr magnetons per cell
Space-group type ... I4mm (107)
Calculated total energy ... -3.595 eV per atom